No. 1
An optimized crystal structure of Na5Pb12Au3, computed with PBE.

For the uncorrected energy, the calculation gives -2.949 eV/atom. Its symmetry is No. 230. The value obtained for the density of states at the Fermi level is 51.11 states/eV/cell.

Cell lengths 15.3196, 15.3196, 15.3196 Å; angles 109.47, 109.47, 109.47 degrees
With the nearest neighbours (Å) after each atom.
Element x y z (fractional)
Na (0.0000, 0.0000, 0.0000)  6 Pb 3.03
Na (0.0000, 0.0000, 0.5000)  6 Pb 3.03
Na (0.0000, 0.5000, 0.0000)  6 Pb 3.03
Na (0.0000, 0.5000, 0.5000)  6 Pb 3.03
Na (0.1250, 0.7500, 0.8750)  4 Pb 3.15
Na (0.1250, 0.8750, 0.2500)  4 Pb 3.15
Na (0.2500, 0.1250, 0.8750)  4 Pb 3.15
Na (0.2500, 0.6250, 0.3750)  4 Pb 3.15
Na (0.3750, 0.2500, 0.6250)  4 Pb 3.15
Na (0.3750, 0.6250, 0.7500)  4 Pb 3.15
Na (0.5000, 0.0000, 0.0000)  6 Pb 3.03
Na (0.5000, 0.0000, 0.5000)  6 Pb 3.03
Na (0.5000, 0.5000, 0.0000)  6 Pb 3.03
Na (0.5000, 0.5000, 0.5000)  6 Pb 3.03
Na (0.6250, 0.3750, 0.2500)  4 Pb 3.15
Na (0.6250, 0.7500, 0.3750)  4 Pb 3.15
Na (0.7500, 0.3750, 0.6250)  4 Pb 3.15
Na (0.7500, 0.8750, 0.1250)  4 Pb 3.15
Na (0.8750, 0.1250, 0.7500)  4 Pb 3.15
Na (0.8750, 0.2500, 0.1250)  4 Pb 3.15
Pb (0.0572, 0.6351, 0.4002)  1 Au 2.88, 2 Na 3.03-3.15, 1 Pb 3.15
Pb (0.0572, 0.9221, 0.6571)  1 Au 2.88, 2 Na 3.03-3.15, 1 Pb 3.15
Pb (0.0779, 0.2350, 0.1351)  1 Au 2.88, 2 Na 3.03-3.15, 1 Pb 3.15
Pb (0.0779, 0.3429, 0.9428)  1 Au 2.88, 2 Na 3.03-3.15, 1 Pb 3.15
Pb (0.0998, 0.7350, 0.6571)  1 Au 2.88, 2 Na 3.03-3.15, 1 Pb 3.15
Pb (0.0998, 0.8649, 0.4428)  1 Au 2.88, 2 Na 3.03-3.15, 1 Pb 3.15
Pb (0.1351, 0.0779, 0.2350)  1 Au 2.88, 2 Na 3.03-3.15, 1 Pb 3.15
Pb (0.1351, 0.5572, 0.9002)  1 Au 2.88, 2 Na 3.03-3.15, 1 Pb 3.15
Pb (0.1571, 0.2350, 0.5998)  1 Au 2.88, 2 Na 3.03-3.15, 1 Pb 3.15
Pb (0.1571, 0.4221, 0.5572)  1 Au 2.88, 2 Na 3.03-3.15, 1 Pb 3.15
Pb (0.2350, 0.1351, 0.0779)  1 Au 2.88, 2 Na 3.03-3.15, 1 Pb 3.15
Pb (0.2350, 0.5998, 0.1571)  1 Au 2.88, 2 Na 3.03-3.15, 1 Pb 3.15
Pb (0.2650, 0.3429, 0.9002)  1 Au 2.88, 2 Na 3.03-3.15, 1 Pb 3.15
Pb (0.2650, 0.4221, 0.3649)  1 Au 2.88, 2 Na 3.03-3.15, 1 Pb 3.15
Pb (0.3429, 0.9002, 0.2650)  1 Au 2.88, 2 Na 3.03-3.15, 1 Pb 3.15
Pb (0.3429, 0.9428, 0.0779)  1 Au 2.88, 2 Na 3.03-3.15, 1 Pb 3.15
Pb (0.3649, 0.2650, 0.4221)  1 Au 2.88, 2 Na 3.03-3.15, 1 Pb 3.15
Pb (0.3649, 0.5998, 0.9428)  1 Au 2.88, 2 Na 3.03-3.15, 1 Pb 3.15
Pb (0.4002, 0.0572, 0.6351)  1 Au 2.88, 2 Na 3.03-3.15, 1 Pb 3.15
Pb (0.4002, 0.8429, 0.7650)  1 Au 2.88, 2 Na 3.03-3.15, 1 Pb 3.15
Pb (0.4221, 0.3649, 0.2650)  1 Au 2.88, 2 Na 3.03-3.15, 1 Pb 3.15
Pb (0.4221, 0.5572, 0.1571)  1 Au 2.88, 2 Na 3.03-3.15, 1 Pb 3.15
Pb (0.4428, 0.0998, 0.8649)  1 Au 2.88, 2 Na 3.03-3.15, 1 Pb 3.15
Pb (0.4428, 0.8429, 0.5779)  1 Au 2.88, 2 Na 3.03-3.15, 1 Pb 3.15
Pb (0.5572, 0.1571, 0.4221)  1 Au 2.88, 2 Na 3.03-3.15, 1 Pb 3.15
Pb (0.5572, 0.9002, 0.1351)  1 Au 2.88, 2 Na 3.03-3.15, 1 Pb 3.15
Pb (0.5779, 0.4428, 0.8429)  1 Au 2.88, 2 Na 3.03-3.15, 1 Pb 3.15
Pb (0.5779, 0.6351, 0.7350)  1 Au 2.88, 2 Na 3.03-3.15, 1 Pb 3.15
Pb (0.5998, 0.1571, 0.2350)  1 Au 2.88, 2 Na 3.03-3.15, 1 Pb 3.15
Pb (0.5998, 0.9428, 0.3649)  1 Au 2.88, 2 Na 3.03-3.15, 1 Pb 3.15
Pb (0.6351, 0.4002, 0.0572)  1 Au 2.88, 2 Na 3.03-3.15, 1 Pb 3.15
Pb (0.6351, 0.7350, 0.5779)  1 Au 2.88, 2 Na 3.03-3.15, 1 Pb 3.15
Pb (0.6571, 0.0572, 0.9221)  1 Au 2.88, 2 Na 3.03-3.15, 1 Pb 3.15
Pb (0.6571, 0.0998, 0.7350)  1 Au 2.88, 2 Na 3.03-3.15, 1 Pb 3.15
Pb (0.7350, 0.5779, 0.6351)  1 Au 2.88, 2 Na 3.03-3.15, 1 Pb 3.15
Pb (0.7350, 0.6571, 0.0998)  1 Au 2.88, 2 Na 3.03-3.15, 1 Pb 3.15
Pb (0.7650, 0.4002, 0.8429)  1 Au 2.88, 2 Na 3.03-3.15, 1 Pb 3.15
Pb (0.7650, 0.8649, 0.9221)  1 Au 2.88, 2 Na 3.03-3.15, 1 Pb 3.15
Pb (0.8429, 0.5779, 0.4428)  1 Au 2.88, 2 Na 3.03-3.15, 1 Pb 3.15
Pb (0.8429, 0.7650, 0.4002)  1 Au 2.88, 2 Na 3.03-3.15, 1 Pb 3.15
Pb (0.8649, 0.4428, 0.0998)  1 Au 2.88, 2 Na 3.03-3.15, 1 Pb 3.15
Pb (0.8649, 0.9221, 0.7650)  1 Au 2.88, 2 Na 3.03-3.15, 1 Pb 3.15
Pb (0.9002, 0.1351, 0.5572)  1 Au 2.88, 2 Na 3.03-3.15, 1 Pb 3.15
Pb (0.9002, 0.2650, 0.3429)  1 Au 2.88, 2 Na 3.03-3.15, 1 Pb 3.15
Pb (0.9221, 0.6571, 0.0572)  1 Au 2.88, 2 Na 3.03-3.15, 1 Pb 3.15
Pb (0.9221, 0.7650, 0.8649)  1 Au 2.88, 2 Na 3.03-3.15, 1 Pb 3.15
Pb (0.9428, 0.0779, 0.3429)  1 Au 2.88, 2 Na 3.03-3.15, 1 Pb 3.15
Pb (0.9428, 0.3649, 0.5998)  1 Au 2.88, 2 Na 3.03-3.15, 1 Pb 3.15
Au (0.1250, 0.2500, 0.3750)  4 Pb 2.88
Au (0.1250, 0.3750, 0.7500)  4 Pb 2.88
Au (0.2500, 0.3750, 0.1250)  4 Pb 2.88
Au (0.2500, 0.8750, 0.6250)  4 Pb 2.88
Au (0.3750, 0.1250, 0.2500)  4 Pb 2.88
Au (0.3750, 0.7500, 0.1250)  4 Pb 2.88
Au (0.6250, 0.2500, 0.8750)  4 Pb 2.88
Au (0.6250, 0.8750, 0.7500)  4 Pb 2.88
Au (0.7500, 0.1250, 0.3750)  4 Pb 2.88
Au (0.7500, 0.6250, 0.8750)  4 Pb 2.88
Au (0.8750, 0.6250, 0.2500)  4 Pb 2.88
Au (0.8750, 0.7500, 0.6250)  4 Pb 2.88

=====

No. 2
An optimized crystal structure of AlV2GaH, computed with PBE.

For the uncorrected energy, the calculation gives -5.753 eV/atom. Its symmetry is No. 123. The value obtained for the density of states at the Fermi level is 4.42 states/eV/cell.

Cell lengths 3.7888, 3.7888, 4.0794 Å; angles 90.00, 90.00, 90.00 degrees
With the nearest neighbours (Å) after each atom.
Element x y z (fractional)
Al (0.0000, 0.0000, 0.0000)  2 H 2.04
V (0.0000, 0.5000, 0.5000)  2 H 1.89
V (0.5000, 0.0000, 0.5000)  2 H 1.89
Ga (0.5000, 0.5000, 0.0000)  4 Al 2.68, 8 V 2.78
H (0.0000, 0.0000, 0.5000)  4 V 1.89, 2 Al 2.04

=====

No. 3
An optimized crystal structure of Pr5MgHg6, computed with PBE.

For the uncorrected energy, the calculation gives -2.724 eV/atom. Its symmetry is No. 71. The value obtained for the density of states at the Fermi level is 12.00 states/eV/cell.

Cell lengths 9.3832, 9.3832, 9.3832 Å; angles 147.07, 131.70, 59.70 degrees
With the nearest neighbours (Å) after each atom.
Element x y z (fractional)
Pr (0.0000, 0.0000, 0.0000)  8 Hg 3.26-3.32
Pr (0.1709, 0.6709, 0.5000)  8 Hg 3.32-3.42
Pr (0.3380, 0.3380, 0.0000)  8 Hg 3.22-3.52
Pr (0.6620, 0.6620, 0.0000)  8 Hg 3.22-3.52
Pr (0.8291, 0.3291, 0.5000)  8 Hg 3.32-3.42
Mg (0.5000, 0.0000, 0.5000)  8 Hg 3.19-3.24
Hg (0.0981, 0.8409, 0.2572)  1 Mg 3.19, 7 Pr 3.25-3.52
Hg (0.2596, 0.5000, 0.7596)  6 Pr 3.22-3.42, 2 Mg 3.24
Hg (0.4163, 0.1591, 0.2572)  1 Mg 3.19, 7 Pr 3.25-3.52
Hg (0.5837, 0.8409, 0.7428)  1 Mg 3.19, 7 Pr 3.25-3.52
Hg (0.7404, 0.5000, 0.2404)  6 Pr 3.22-3.42, 2 Mg 3.24
Hg (0.9019, 0.1591, 0.7428)  1 Mg 3.19, 7 Pr 3.25-3.52

=====

No. 4
An optimized crystal structure of La2HoTm2, computed with PBE.

For the uncorrected energy, the calculation gives -4.432 eV/atom. Its symmetry is No. 15. The value obtained for the density of states at the Fermi level is 16.02 states/eV/cell. For the energy above the most stable polymorph in this dataset, the calculation gives 216 meV/atom.

Cell lengths 6.5173, 6.5173, 8.8796 Å; angles 105.41, 105.41, 95.14 degrees
With the nearest neighbours (Å) after each atom.
Element x y z (fractional)
La (0.0734, 0.2479, 0.1405)  5 Tm 3.36-3.76, 3 Ho 3.38-3.48, 1 La 3.39
La (0.2479, 0.0734, 0.6405)  5 Tm 3.36-3.76, 3 Ho 3.38-3.48, 1 La 3.39
La (0.7521, 0.9266, 0.3595)  5 Tm 3.36-3.76, 3 Ho 3.38-3.48, 1 La 3.39
La (0.9266, 0.7521, 0.8595)  5 Tm 3.36-3.76, 3 Ho 3.38-3.48, 1 La 3.39
Ho (0.2087, 0.7913, 0.2500)  6 La 3.38-3.48, 4 Tm 3.58-3.71
Ho (0.7913, 0.2087, 0.7500)  6 La 3.38-3.48, 4 Tm 3.58-3.71
Tm (0.0000, 0.5000, 0.5000)  2 Tm 3.26, 2 La 3.36
Tm (0.5000, 0.0000, 0.0000)  2 Tm 3.26, 2 La 3.36
Tm (0.5000, 0.5000, 0.0000)  2 Tm 3.26, 2 La 3.51, 2 Ho 3.58
Tm (0.5000, 0.5000, 0.5000)  2 Tm 3.26, 2 La 3.51, 2 Ho 3.58

=====

No. 5
An optimized crystal structure of Ba4Be5, computed with PBE.

For the uncorrected energy, the calculation gives -2.494 eV/atom. Its symmetry is No. 139. The value obtained for the density of states at the Fermi level is 6.63 states/eV/cell.

Cell lengths 9.1600, 9.1600, 9.1600 Å; angles 92.71, 92.71, 154.90 degrees
With the nearest neighbours (Å) after each atom.
Element x y z (fractional)
Ba (0.0000, 0.2644, 0.2644)  5 Be 3.23-3.34
Ba (0.0000, 0.7356, 0.7356)  5 Be 3.23-3.34
Ba (0.2644, 0.0000, 0.2644)  5 Be 3.23-3.34
Ba (0.7356, 0.0000, 0.7356)  5 Be 3.23-3.34
Be (0.0000, 0.0000, 0.0000)  8 Be 2.45
Be (0.4200, 0.4200, 0.8401)  2 Be 2.02
Be (0.4200, 0.5800, 0.0000)  2 Be 2.02
Be (0.5800, 0.4200, 0.0000)  2 Be 2.02
Be (0.5800, 0.5800, 0.1599)  2 Be 2.02

=====

No. 6
An optimized crystal structure of Hf2Ti4In2N, computed with PBE.

For the uncorrected formation energy, the calculation gives -499 meV per atom. For the uncorrected energy, the calculation gives -7.754 eV/atom. Its symmetry is No. 139. The value obtained for the density of states at the Fermi level is 9.99 states/eV/cell.

Cell lengths 5.9861, 5.9861, 5.9861 Å; angles 117.30, 117.30, 94.74 degrees
With the nearest neighbours (Å) after each atom.
Element x y z (fractional)
Hf (0.2230, 0.2230, 0.0000)  1 N 2.25
Hf (0.7770, 0.7770, 0.0000)  1 N 2.25
Ti (0.2599, 0.2599, 0.5198)  1 N 2.11
Ti (0.2599, 0.7401, 0.0000)  1 N 2.11
Ti (0.7401, 0.2599, 0.0000)  1 N 2.11
Ti (0.7401, 0.7401, 0.4802)  1 N 2.11
In (0.2500, 0.7500, 0.5000)  8 Ti 2.99, 4 Hf 3.12
In (0.7500, 0.2500, 0.5000)  8 Ti 2.99, 4 Hf 3.12
N (0.5000, 0.5000, 0.0000)  4 Ti 2.11, 2 Hf 2.25

=====

No. 7
An optimized crystal structure of In2GeAu, computed with PBE.

For the uncorrected energy, the calculation gives -3.175 eV/atom. Its symmetry is No. 166. The value obtained for the density of states at the Fermi level is 2.22 states/eV/cell.

Cell lengths 10.8703, 10.8703, 10.8703 Å; angles 16.76, 16.76, 16.76 degrees
With the nearest neighbours (Å) after each atom.
Element x y z (fractional)
In (0.0864, 0.0864, 0.0864)  1 Au 2.78
In (0.9136, 0.9136, 0.9136)  1 Au 2.78
Ge (0.5000, 0.5000, 0.5000)  6 In 3.16, 6 Ge 3.17
Au (0.0000, 0.0000, 0.0000)  2 In 2.78

=====

No. 8
An optimized crystal structure of MgSnGe, computed with PBE.

For the uncorrected energy, the calculation gives -3.360 eV/atom. Its symmetry is No. 156. The value obtained for the density of states at the Fermi level is 0.70 states/eV/cell. For the energy above the most stable polymorph in this dataset, the calculation gives 51 meV/atom.

Cell lengths 5.0179, 5.0179, 3.1243 Å; angles 90.00, 90.00, 120.00 degrees
With the nearest neighbours (Å) after each atom.
Element x y z (fractional)
Mg (0.0000, 0.0000, 0.0000)  2 Mg 3.12, 6 Sn 3.29-3.30, 6 Ge 3.29-3.30
Sn (0.6667, 0.3333, 0.4971)  3 Ge 2.90, 2 Sn 3.12
Ge (0.3333, 0.6667, 0.5024)  3 Sn 2.90, 2 Ge 3.12

=====

No. 9
An optimized crystal structure of Tb3Pr2Co2, computed with PBE.

For the uncorrected energy, the calculation gives -5.491 eV/atom. Its symmetry is No. 12. The value obtained for the density of states at the Fermi level is 7.79 states/eV/cell.

Cell lengths 6.4178, 6.4178, 9.0983 Å; angles 115.28, 115.28, 33.33 degrees
With the nearest neighbours (Å) after each atom.
Element x y z (fractional)
Tb (0.0000, 0.0000, 0.0000)  4 Co 2.96
Tb (0.1191, 0.1191, 0.4233)  3 Co 2.75-2.95
Tb (0.8809, 0.8809, 0.5767)  3 Co 2.75-2.95
Pr (0.3295, 0.3295, 0.1984)  2 Co 2.80
Pr (0.6705, 0.6705, 0.8016)  2 Co 2.80
Co (0.3237, 0.3237, 0.7554)  5 Tb 2.75-2.96, 2 Pr 2.80
Co (0.6763, 0.6763, 0.2446)  5 Tb 2.75-2.96, 2 Pr 2.80

=====

No. 10
An optimized crystal structure of Tb2GeCl, computed with PBE.

For the uncorrected formation energy, the calculation gives -1199 meV per atom. For the uncorrected energy, the calculation gives -5.130 eV/atom. Its symmetry is No. 166. The value obtained for the density of states at the Fermi level is 2.13 states/eV/cell. For the energy above the most stable polymorph in this dataset, the calculation gives 0 meV/atom.

Cell lengths 7.0132, 7.0132, 7.0132 Å; angles 34.71, 34.71, 34.71 degrees
With the nearest neighbours (Å) after each atom.
Element x y z (fractional)
Tb (0.2422, 0.2422, 0.2422)  3 Ge 2.84, 3 Cl 3.01
Tb (0.7578, 0.7578, 0.7578)  3 Ge 2.84, 3 Cl 3.01
Ge (0.5000, 0.5000, 0.5000)  6 Tb 2.84
Cl (0.0000, 0.0000, 0.0000)  6 Tb 3.01

=====

No. 11
An optimized crystal structure of ScTa2Te, computed with PBE.

For the uncorrected formation energy, the calculation gives 176 meV per atom. For the uncorrected energy, the calculation gives -8.119 eV/atom. Its symmetry is No. 65. The value obtained for the density of states at the Fermi level is 4.05 states/eV/cell. For the energy above the most stable polymorph in this dataset, the calculation gives 297 meV/atom.

Cell lengths 4.9215, 4.9215, 3.4250 Å; angles 90.00, 90.00, 107.02 degrees
With the nearest neighbours (Å) after each atom.
Element x y z (fractional)
Sc (0.0000, 0.0000, 0.0000)  2 Te 2.93, 8 Ta 3.00
Ta (0.0000, 0.5000, 0.5000)  2 Ta 2.93, 4 Te 3.00, 4 Sc 3.00
Ta (0.5000, 0.0000, 0.5000)  2 Ta 2.93, 4 Te 3.00, 4 Sc 3.00
Te (0.5000, 0.5000, 0.0000)  2 Sc 2.93, 8 Ta 3.00